Record 1
{
  "formula": "Dy2SiAu",
  "functional": "GGA-PBE",
  "state": "optimized geometry",
  "vol_a3_per_atom": 23.43,
  "dos_at_fermi_per_ev_atom": 0.914,
  "e_form_raw_ev_per_atom": -0.783,
  "dft_energy_ev_per_atom": -5.259,
  "sg": "No. 11",
  "lattice": [[4.258, 0.000, 0.000], [0.000, 5.847, 0.026], [0.000, -2.883, 7.514]],
  "species": ["Dy", "Dy", "Dy", "Dy", "Si", "Si", "Au", "Au"],
  "frac_coords": [[0.750, 0.219, 0.430], [0.250, 0.781, 0.570], [0.250, 0.785, 0.073], [0.750, 0.215, 0.927], [0.250, 0.335, 0.209], [0.750, 0.665, 0.791], [0.750, 0.660, 0.290], [0.250, 0.340, 0.710]]
}



Record 2
{
  "formula": "Dy2Si2Au",
  "functional": "GGA-PBE",
  "state": "optimized geometry",
  "vol_a3_per_atom": 20.43,
  "dos_at_fermi_per_ev_atom": 0.528,
  "e_form_raw_ev_per_atom": -0.797,
  "dft_energy_ev_per_atom": -5.462,
  "sg": "No. 127",
  "lattice": [[-1.239, -6.699, 1.082], [-0.795, -0.949, -6.786], [8.390, -1.672, -0.749]],
  "species": ["Dy", "Dy", "Dy", "Dy", "Dy", "Dy", "Dy", "Dy", "Si", "Si", "Si", "Si", "Si", "Si", "Si", "Si", "Au", "Au", "Au", "Au"],
  "frac_coords": [[0.676, 0.824, 0.500], [0.324, 0.176, 0.500], [0.824, 0.324, 0.000], [0.176, 0.676, 0.000], [0.824, 0.324, 0.500], [0.176, 0.676, 0.500], [0.324, 0.176, 0.000], [0.676, 0.824, 0.000], [0.377, 0.877, 0.250], [0.623, 0.123, 0.250], [0.123, 0.377, 0.750], [0.877, 0.623, 0.750], [0.877, 0.623, 0.250], [0.123, 0.377, 0.250], [0.377, 0.877, 0.750], [0.623, 0.123, 0.750], [0.500, 0.500, 0.250], [0.000, 0.000, 0.750], [0.500, 0.500, 0.750], [0.000, 0.000, 0.250]]
}



Record 3
{
  "formula": "Dy2Si3Au5",
  "functional": "GGA-PBE",
  "state": "optimized geometry",
  "vol_a3_per_atom": 18.92,
  "dos_at_fermi_per_ev_atom": 0.185,
  "e_form_raw_ev_per_atom": -0.546,
  "dft_energy_ev_per_atom": -4.732,
  "sg": "No. 36",
  "lattice": [[4.309, 0.000, -0.734], [0.000, 7.081, 0.000], [-0.101, 0.000, 12.420]],
  "species": ["Dy", "Dy", "Dy", "Dy", "Si", "Si", "Si", "Si", "Si", "Si", "Au", "Au", "Au", "Au", "Au", "Au", "Au", "Au", "Au", "Au"],
  "frac_coords": [[0.480, 0.761, 0.960], [0.174, 0.739, 0.349], [0.826, 0.239, 0.651], [0.520, 0.261, 0.040], [0.771, 0.704, 0.541], [0.605, 0.565, 0.210], [0.047, 0.967, 0.095], [0.229, 0.204, 0.459], [0.953, 0.467, 0.905], [0.395, 0.065, 0.790], [0.400, 0.422, 0.799], [0.282, 0.509, 0.565], [0.718, 0.009, 0.435], [0.123, 0.219, 0.247], [0.304, 0.914, 0.608], [0.947, 0.066, 0.895], [0.696, 0.414, 0.392], [0.877, 0.719, 0.753], [0.053, 0.566, 0.105], [0.600, 0.922, 0.201]]
}



Record 4
{
  "formula": "Dy2Si3Au2",
  "functional": "GGA-PBE",
  "state": "optimized geometry",
  "vol_a3_per_atom": 19.23,
  "dos_at_fermi_per_ev_atom": 0.338,
  "e_form_raw_ev_per_atom": -0.677,
  "dft_energy_ev_per_atom": -5.252,
  "sg": "No. 63",
  "lattice": [[-1.815, -1.218, -3.681], [5.665, -3.690, -1.572], [-2.649, -6.617, 5.986]],
  "species": ["Dy", "Dy", "Dy", "Dy", "Si", "Si", "Si", "Si", "Si", "Si", "Au", "Au", "Au", "Au"],
  "frac_coords": [[0.152, 0.250, 0.304], [0.848, 0.750, 0.696], [0.950, 0.250, 0.899], [0.050, 0.750, 0.101], [0.223, 0.750, 0.446], [0.777, 0.250, 0.554], [0.556, 0.422, 0.113], [0.444, 0.578, 0.887], [0.444, 0.922, 0.887], [0.556, 0.078, 0.113], [0.685, 0.952, 0.369], [0.315, 0.048, 0.631], [0.315, 0.452, 0.631], [0.685, 0.548, 0.369]]
}



Record 5
{
  "formula": "Dy2Si3Au6",
  "functional": "GGA-PBE",
  "state": "optimized geometry",
  "vol_a3_per_atom": 19.72,
  "dos_at_fermi_per_ev_atom": 0.308,
  "e_form_raw_ev_per_atom": -0.529,
  "dft_energy_ev_per_atom": -4.632,
  "sg": "No. 189",
  "lattice": [[4.346, 0.000, 0.000], [0.000, 6.574, -3.796], [0.000, 0.000, 7.591]],
  "species": ["Dy", "Dy", "Si", "Si", "Si", "Au", "Au", "Au", "Au", "Au", "Au"],
  "frac_coords": [[0.000, 0.667, 0.333], [0.000, 0.333, 0.667], [0.500, 0.358, 0.358], [0.500, 0.642, 0.000], [0.500, 0.000, 0.642], [0.500, 0.674, 0.674], [0.500, 0.000, 0.326], [0.000, 0.218, 0.218], [0.000, 0.782, 0.000], [0.500, 0.326, 0.000], [0.000, 0.000, 0.782]]
}



Record 6
{
  "formula": "DySiAu",
  "functional": "GGA-PBE",
  "state": "optimized geometry",
  "vol_a3_per_atom": 20.25,
  "dos_at_fermi_per_ev_atom": 0.654,
  "e_form_raw_ev_per_atom": -0.383,
  "dft_energy_ev_per_atom": -4.817,
  "sg": "No. 107",
  "lattice": [[3.406, 0.000, 0.000], [0.000, 3.406, 0.000], [-1.703, -1.703, 5.236]],
  "species": ["Si", "Au", "Dy"],
  "frac_coords": [[0.303, 0.303, 0.605], [0.931, 0.931, 0.862], [0.616, 0.616, 0.232]]
}



Record 7
{
  "formula": "Dy5Si2Au2",
  "functional": "GGA-PBE",
  "state": "optimized geometry",
  "vol_a3_per_atom": 24.14,
  "dos_at_fermi_per_ev_atom": 0.865,
  "e_form_raw_ev_per_atom": -0.765,
  "dft_energy_ev_per_atom": -5.255,
  "sg": "No. 64",
  "lattice": [[-4.015, -4.381, 4.586], [-0.363, -5.250, -5.333], [4.509, -5.360, 4.971]],
  "species": ["Dy", "Dy", "Dy", "Dy", "Dy", "Dy", "Dy", "Dy", "Dy", "Dy", "Si", "Si", "Si", "Si", "Au", "Au", "Au", "Au"],
  "frac_coords": [[0.000, 0.000, 0.000], [0.500, 0.500, 0.000], [0.456, 0.172, 0.732], [0.812, 0.828, 0.732], [0.312, 0.672, 0.732], [0.956, 0.328, 0.732], [0.544, 0.828, 0.268], [0.188, 0.172, 0.268], [0.688, 0.328, 0.268], [0.044, 0.672, 0.268], [0.119, 0.380, 0.000], [0.881, 0.620, 0.000], [0.381, 0.880, 0.000], [0.619, 0.120, 0.000], [0.208, 0.000, 0.584], [0.708, 0.500, 0.584], [0.792, 0.000, 0.416], [0.292, 0.500, 0.416]]
}



Record 8
{
  "formula": "Dy5Si2Au",
  "functional": "GGA-PBE",
  "state": "optimized geometry",
  "vol_a3_per_atom": 24.70,
  "dos_at_fermi_per_ev_atom": 0.745,
  "e_form_raw_ev_per_atom": -0.676,
  "dft_energy_ev_per_atom": -5.318,
  "sg": "No. 140",
  "lattice": [[6.723, 0.000, -3.174], [-1.498, 6.554, -3.174], [0.079, 0.098, 8.874]],
  "species": ["Dy", "Dy", "Dy", "Dy", "Dy", "Dy", "Dy", "Dy", "Dy", "Dy", "Si", "Si", "Si", "Si", "Au", "Au"],
  "frac_coords": [[0.531, 0.685, 0.716], [0.815, 0.969, 0.284], [0.000, 0.000, 0.000], [0.500, 0.500, 0.000], [0.185, 0.031, 0.716], [0.685, 0.185, 0.716], [0.031, 0.531, 0.716], [0.315, 0.815, 0.284], [0.969, 0.469, 0.284], [0.469, 0.315, 0.284], [0.121, 0.379, 0.000], [0.621, 0.121, 0.000], [0.379, 0.879, 0.000], [0.879, 0.621, 0.000], [0.750, 0.750, 0.500], [0.250, 0.250, 0.500]]
}



Record 9
{
  "formula": "Dy2SiAu",
  "functional": "GGA-PBE",
  "state": "optimized geometry",
  "vol_a3_per_atom": 22.55,
  "dos_at_fermi_per_ev_atom": 0.538,
  "e_form_raw_ev_per_atom": -0.687,
  "dft_energy_ev_per_atom": -5.163,
  "sg": "No. 123",
  "lattice": [[3.539, 0.000, 0.000], [0.000, 3.539, 0.000], [0.000, 0.000, 7.200]],
  "species": ["Si", "Au", "Dy", "Dy"],
  "frac_coords": [[0.500, 0.500, 0.000], [0.500, 0.500, 0.500], [0.000, 0.000, 0.757], [0.000, 0.000, 0.243]]
}



Record 10
{
  "formula": "Dy2SiAu",
  "functional": "GGA-PBE",
  "state": "optimized geometry",
  "vol_a3_per_atom": 25.67,
  "dos_at_fermi_per_ev_atom": 0.704,
  "e_form_raw_ev_per_atom": -0.626,
  "dft_energy_ev_per_atom": -5.102,
  "sg": "No. 166",
  "lattice": [[-2.255, 0.509, 3.616], [-3.831, -1.887, 0.423], [0.812, -5.665, 3.850]],
  "species": ["Si", "Au", "Dy", "Dy"],
  "frac_coords": [[0.000, 0.000, 0.000], [0.500, 0.500, 0.500], [0.744, 0.744, 0.769], [0.256, 0.256, 0.231]]
}



Record 11
{
  "formula": "DySi2Sn2Au7",
  "functional": "GGA-PBE",
  "state": "optimized geometry",
  "vol_a3_per_atom": 22.57,
  "dos_at_fermi_per_ev_atom": 0.376,
  "e_form_raw_ev_per_atom": -0.204,
  "dft_energy_ev_per_atom": -4.070,
  "sg": "No. 12",
  "lattice": [[4.230, 0.002, 0.016], [0.007, 4.229, 0.016], [2.115, 2.113, 15.157]],
  "species": ["Dy", "Si", "Si", "Sn", "Sn", "Au", "Au", "Au", "Au", "Au", "Au", "Au"],
  "frac_coords": [[0.000, 0.000, 0.000], [0.622, 0.622, 0.764], [0.378, 0.378, 0.236], [0.789, 0.789, 0.419], [0.211, 0.211, 0.581], [0.500, 0.500, 0.000], [0.301, 0.301, 0.396], [0.699, 0.699, 0.604], [0.924, 0.424, 0.147], [0.424, 0.924, 0.147], [0.576, 0.076, 0.853], [0.076, 0.576, 0.853]]
}



Record 12
{
  "formula": "Sr2DySi3Au12",
  "functional": "GGA-PBE",
  "state": "optimized geometry",
  "vol_a3_per_atom": 24.55,
  "dos_at_fermi_per_ev_atom": 0.357,
  "e_form_raw_ev_per_atom": -0.203,
  "dft_energy_ev_per_atom": -3.735,
  "sg": "No. 166",
  "lattice": [[-2.274, 2.916, -7.345], [-5.603, -4.601, -3.881], [-7.544, 3.270, -0.156]],
  "species": ["Sr", "Sr", "Dy", "Si", "Si", "Si", "Au", "Au", "Au", "Au", "Au", "Au", "Au", "Au", "Au", "Au", "Au", "Au"],
  "frac_coords": [[0.599, 0.599, 0.599], [0.401, 0.401, 0.401], [0.000, 0.000, 0.000], [0.500, 0.000, 0.000], [0.000, 0.500, 0.000], [0.000, 0.000, 0.500], [0.313, 0.313, 0.863], [0.860, 0.860, 0.395], [0.395, 0.860, 0.860], [0.863, 0.313, 0.313], [0.860, 0.395, 0.860], [0.313, 0.863, 0.313], [0.687, 0.687, 0.137], [0.140, 0.140, 0.605], [0.605, 0.140, 0.140], [0.137, 0.687, 0.687], [0.140, 0.605, 0.140], [0.687, 0.137, 0.687]]
}



Q: Which formula does entry 9 have?
A: Dy2SiAu



Q: Which formula does entry 5 have?
A: Dy2Si3Au6



Q: Number 4 is which compound?
A: Dy2Si3Au2